# 1
DFT (PBE) results for a relaxed structure of ErPaSe2N.

## Properties
Space group ... P4/nmm
Formation energy without anion corrections ... -1.79 eV/atom

a b c (Å): 3.923 3.923 13.869
angles (deg): 90.00 90.00 90.00
Positions (direct):
Se1 0.500 0.000 0.307
Se2 0.000 0.500 0.112
Se3 0.000 0.500 0.693
N1 0.000 0.000 0.500
Er1 0.000 0.500 0.902
Pa1 0.500 0.000 0.586
Se4 0.500 0.000 0.888
N2 0.500 0.500 0.500
Pa2 0.000 0.500 0.414
Er2 0.500 0.000 0.098



# 2
DFT (PBE) results for a relaxed structure of Er2PaSe2N2.

## Properties
Space group ... I4/mmm
Formation energy without anion corrections ... -1.41 eV/atom

a b c (Å): 4.365 4.365 8.036
angles (deg): 105.76 105.76 90.00
Positions (direct):
Pa1 0.000 0.000 0.000
N1 0.500 0.000 0.000
N2 0.000 0.500 0.000
Er1 0.386 0.386 0.771
Se1 0.811 0.811 0.621
Er2 0.614 0.614 0.229
Se2 0.189 0.189 0.379



# 3
DFT (PBE) results for a relaxed structure of ErPa2SiN6.

## Properties
Space group ... P4mm
Formation energy without anion corrections ... -1.02 eV/atom

a b c (Å): 5.096 5.220 5.220
angles (deg): 90.00 90.00 90.00
Positions (direct):
N1 0.737 0.769 0.769
N2 0.247 0.000 0.000
Er1 0.552 0.500 0.500
N3 0.737 0.231 0.231
N4 0.118 0.500 0.500
N5 0.737 0.231 0.769
Si1 0.597 0.000 0.000
Pa1 0.993 0.500 0.000
Pa2 0.993 0.000 0.500
N6 0.737 0.769 0.231



# 4
DFT (PBE) results for a relaxed structure of Sm2ErPaN4.

## Properties
Space group ... P2/m
Formation energy without anion corrections ... -1.64 eV/atom

a b c (Å): 3.534 6.052 6.116
angles (deg): 109.12 90.00 90.00
Positions (direct):
N1 0.000 0.246 0.772
Sm1 0.500 0.000 0.500
N2 0.500 0.763 0.774
N3 0.500 0.237 0.226
N4 0.000 0.754 0.228
Sm2 0.000 0.500 0.500
Pa1 0.000 0.000 0.000
Er1 0.500 0.500 0.000



# 5
DFT (PBE) results for a relaxed structure of SmErPa2N4.

## Properties
Space group ... P2/m
Formation energy without anion corrections ... -1.63 eV/atom

a b c (Å): 3.502 6.084 6.066
angles (deg): 109.52 90.00 90.00
Positions (direct):
N1 0.500 0.754 0.737
Er1 0.000 0.000 0.000
N2 0.000 0.765 0.269
Pa1 0.000 0.500 0.500
N3 0.000 0.235 0.731
Pa2 0.500 0.000 0.500
N4 0.500 0.246 0.263
Sm1 0.500 0.500 0.000



# 6
DFT (PBE) results for a relaxed structure of Sr4ErPa3N8.

## Properties
Space group ... R-3m
Formation energy without anion corrections ... -1.38 eV/atom

a b c (Å): 7.186 7.297 7.186
angles (deg): 119.50 120.00 90.00
Positions (direct):
Pa1 0.500 0.500 0.500
N1 0.732 0.696 0.464
N2 0.239 0.697 0.477
N3 0.761 0.303 0.042
Er1 0.000 0.500 0.000
N4 0.281 0.303 0.042
N5 0.719 0.697 0.958
Sr1 0.000 0.000 0.500
Sr2 0.500 0.000 0.000
N6 0.268 0.304 0.536
N7 0.239 0.697 0.958
N8 0.761 0.303 0.523
Pa2 0.500 0.500 0.000
Sr3 0.000 0.000 0.000
Sr4 0.500 0.000 0.500
Pa3 0.000 0.500 0.500